Computed, not measured: a geometry-optimized KLi2Si structure at the PBE level of DFT.

Output
- total DFT energy (no corrections) (eV per atom) = -2.3428
- total magnetization (μB/f.u.) = 0.000
- SG = C2/m (12)
- volume (Å³ per cell) = 88

Lattice parameters (Å, degrees): 4.9151 4.9151 3.6247 90.38 90.38 89.94
Closest atoms and distances in Å follow each position.
Positions (direct):
K 0.0000 0.0000 0.0000  8 Li 3.04-3.06
Li 0.0000 0.5000 0.5000  4 Si 3.04-3.06, 4 K 3.04-3.06
Li 0.5000 0.0000 0.5000  4 Si 3.04-3.06, 4 K 3.04-3.06
Si 0.5000 0.5000 0.0000  8 Li 3.04-3.06